No. 1
Material: CsBiCl2
Method: DFT, PBE-GGA
State: relaxed

polymorph energy (0 for the lowest one)	0.000	eV/atom
calculated total energy	-3.144	eV/atom
formation energy (no corrections)	-1.037	eV/atom

Unit cell a=10.4309 b=10.4309 c=10.4309 alpha=22.81 beta=22.81 gamma=22.81
Atoms (fractional coordinates):
Cs: 0.0000 0.0000 0.0000
Bi: 0.5000 0.5000 0.5000
Cl: 0.4105 0.4105 0.4105
Cl: 0.5895 0.5895 0.5895

No. 2
Material: CsBiCl3
Method: DFT, PBE-GGA
State: relaxed

polymorph energy (0 for the lowest one)	0.000	eV/atom
calculated total energy	-3.271	eV/atom
formation energy (no corrections)	-1.217	eV/atom

Unit cell a=5.6611 b=5.6611 c=5.6611 alpha=90.00 beta=90.00 gamma=90.00
Atoms (fractional coordinates):
Cs: 0.0000 0.0000 0.0000
Bi: 0.5000 0.5000 0.5000
Cl: 0.0000 0.5000 0.5000
Cl: 0.5000 0.0000 0.5000
Cl: 0.5000 0.5000 0.0000

No. 3
Material: Cs3BiCl8
Method: DFT, PBE-GGA
State: relaxed

calculated total energy	-2.949	eV/atom
formation energy (no corrections)	-1.181	eV/atom

Unit cell a=9.5990 b=9.5990 c=9.5990 alpha=131.92 beta=131.92 gamma=70.36
Atoms (fractional coordinates):
Cs: 0.0000 0.0000 0.0000
Cs: 0.2500 0.7500 0.5000
Cs: 0.7500 0.2500 0.5000
Bi: 0.5000 0.5000 0.0000
Cl: 0.1825 0.1825 0.5789
Cl: 0.1825 0.6036 0.0000
Cl: 0.3964 0.3964 0.5789
Cl: 0.3964 0.8175 0.0000
Cl: 0.6036 0.1825 0.0000
Cl: 0.6036 0.6036 0.4211
Cl: 0.8175 0.3964 0.0000
Cl: 0.8175 0.8175 0.4211